DFT (PBE-GGA) results for a geometry-optimized LiSc2Br structure.

abc: 4.105 4.105 5.443
angles: 90.00 90.00 90.00
Atoms (fractional coordinates):
Li 0.000 0.000 0.000
Sc 0.000 0.500 0.500
Sc 0.500 0.000 0.500
Br 0.500 0.500 0.000

Properties
**ΔE_f (raw)**: -0.054 eV per atom
**Volume**: 22.927 Å³ per atom
**M_tot**: 0.00 Bohr magnetons per cell
**Space group**: P4/mmm (123)
**Final energy**: -0.303 Ry per atom
**Polymorph energy (0 for the lowest one)**: 1.48 eV/f.u.